A plane-wave DFT calculation with GGA-PBE was carried out for a relaxed structure of TbSm8Tm2.

a = 8.541 Å, b = 9.221 Å, c = 9.221 Å
α = 42.69°, β = 52.51°, γ = 52.51°
Fractional coordinates of all 11 atoms:
Tb (0.000, 0.000, 0.000)
Sm (0.223, 0.391, 0.391)
Sm (0.201, 0.350, 0.833)
Sm (0.777, 0.609, 0.609)
Sm (0.799, 0.650, 0.167)
Sm (0.799, 0.167, 0.650)
Sm (0.709, 0.258, 0.258)
Sm (0.201, 0.833, 0.350)
Sm (0.291, 0.742, 0.742)
Tm (0.528, 0.856, 0.856)
Tm (0.472, 0.144, 0.144)

Values from the calculation:
The calculated formation energy comes out at 0.215 eV/atom. The calculation puts the energy above the lowest structure with this stoichiometry at 40 meV per atom.



A plane-wave DFT calculation with GGA-PBE was carried out for a relaxed structure of TbSm3Tm.

a = 9.651 Å, b = 6.798 Å, c = 6.312 Å
α = 117.67°, β = 109.15°, γ = 95.73°
Fractional coordinates of all 10 atoms:
Tb (0.348, 0.449, 0.715)
Tb (0.652, 0.951, 0.285)
Sm (0.749, 0.450, 0.917)
Sm (0.951, 0.453, 0.520)
Sm (0.449, 0.947, 0.682)
Sm (0.049, 0.947, 0.480)
Sm (0.551, 0.453, 0.318)
Sm (0.251, 0.950, 0.083)
Tm (0.851, 0.954, 0.887)
Tm (0.149, 0.446, 0.113)

Values from the calculation:
The calculated formation energy comes out at 0.020 eV/atom. The calculation puts the energy above the lowest structure with this stoichiometry at 0 meV per atom.



A plane-wave DFT calculation with GGA-PBE was carried out for a relaxed structure of TbSm4Tm2.

a = 12.445 Å, b = 12.445 Å, c = 6.748 Å
α = 97.03°, β = 97.04°, γ = 150.13°
Fractional coordinates of all 14 atoms:
Tb (0.675, 0.425, 0.000)
Tb (0.425, 0.675, 0.500)
Sm (0.149, 0.040, 0.105)
Sm (0.040, 0.149, 0.605)
Sm (0.174, 0.711, 0.362)
Sm (0.711, 0.174, 0.862)
Sm (0.600, 0.563, 0.638)
Sm (0.185, 0.794, 0.895)
Sm (0.794, 0.185, 0.395)
Sm (0.563, 0.600, 0.138)
Tm (0.921, 0.103, 0.051)
Tm (0.103, 0.921, 0.551)
Tm (0.301, 0.620, 0.949)
Tm (0.620, 0.301, 0.449)

Values from the calculation:
The calculated formation energy comes out at 0.055 eV/atom. The calculation puts the energy above the lowest structure with this stoichiometry at 0 meV per atom.



A plane-wave DFT calculation with GGA-PBE was carried out for a relaxed structure of Tb6Sm2Tm3.

a = 4.720 Å, b = 4.720 Å, c = 16.916 Å
α = 98.02°, β = 98.02°, γ = 90.00°
Fractional coordinates of all 11 atoms:
Tm (0.800, 0.800, 0.600)
Tm (0.200, 0.200, 0.400)
Tm (0.000, 0.000, 0.000)
Tb (0.122, 0.622, 0.244)
Tb (0.378, 0.878, 0.756)
Tb (0.303, 0.303, 0.605)
Tb (0.697, 0.697, 0.395)
Tb (0.878, 0.378, 0.756)
Tb (0.622, 0.122, 0.244)
Sm (0.454, 0.454, 0.908)
Sm (0.546, 0.546, 0.092)

Values from the calculation:
The calculated formation energy comes out at 0.284 eV/atom. The calculation puts the energy above the lowest structure with this stoichiometry at 265 meV per atom.



A plane-wave DFT calculation with GGA-PBE was carried out for a relaxed structure of TbSm6Tm.

a = 6.233 Å, b = 6.233 Å, c = 8.063 Å
α = 105.12°, β = 105.12°, γ = 109.14°
Fractional coordinates of all 8 atoms:
Sm (0.124, 0.624, 0.248)
Sm (0.876, 0.376, 0.752)
Sm (0.376, 0.876, 0.752)
Sm (0.749, 0.749, 0.499)
Sm (0.251, 0.251, 0.501)
Sm (0.624, 0.124, 0.248)
Tb (0.000, 0.000, 0.000)
Tm (0.500, 0.500, 0.000)

Values from the calculation:
The calculated formation energy comes out at 0.017 eV/atom.



A plane-wave DFT calculation with GGA-PBE was carried out for a relaxed structure of Tb3Sm7Tm2.

a = 6.547 Å, b = 6.547 Å, c = 11.811 Å
α = 73.91°, β = 73.91°, γ = 60.00°
Fractional coordinates of all 12 atoms:
Sm (0.413, 0.921, 0.252)
Sm (0.413, 0.413, 0.252)
Sm (0.921, 0.413, 0.252)
Sm (0.587, 0.079, 0.748)
Sm (0.587, 0.587, 0.748)
Sm (0.500, 0.500, 0.500)
Sm (0.079, 0.587, 0.748)
Tm (0.666, 0.666, 0.002)
Tm (0.334, 0.334, 0.998)
Tb (0.153, 0.153, 0.541)
Tb (0.000, 0.000, 0.000)
Tb (0.847, 0.847, 0.459)

Values from the calculation:
The calculated formation energy comes out at 0.295 eV/atom. The calculation puts the energy above the lowest structure with this stoichiometry at 184 meV per atom.